Record 1
Density functional theory data (PBE-GGA) for an optimized crystal structure of HfRuC.

Cell: 4.266 5.334 4.266 Å, 67.91 86.57 112.09°
Fractional positions:
C: 0.237 0.000 0.763
C: 0.662 0.000 0.338
Hf: 0.449 0.500 0.551
Hf: 0.949 0.500 0.051
Ru: 0.173 0.000 0.274
Ru: 0.726 0.000 0.827

Results
E_form = 0.0743 eV per atom



Record 2
Density functional theory data (PBE-GGA) for an optimized crystal structure of Y2SbPd6.

Cell: 4.843 7.347 7.391 Å, 119.65 122.49 89.86°
Fractional positions:
Y: 0.844 0.710 0.421
Y: 0.156 0.290 0.579
Sb: 0.000 0.000 0.000
Pd: 0.211 0.445 0.269
Pd: 0.788 0.175 0.728
Pd: 0.789 0.555 0.731
Pd: 0.501 0.200 0.000
Pd: 0.212 0.825 0.272
Pd: 0.499 0.800 0.000

Results
ΔE_f (raw) = -0.60 eV/atom



Record 3
Density functional theory data (PBE-GGA) for an optimized crystal structure of NaSmPa4N8.

Cell: 7.101 7.101 6.718 Å, 58.10 58.10 60.00°
Fractional positions:
Na: 0.001 0.001 0.997
Sm: 0.379 0.379 0.863
Pa: 0.602 0.602 0.194
Pa: 0.998 0.497 0.506
Pa: 0.497 0.998 0.506
Pa: 0.998 0.998 0.506
N: 0.265 0.787 0.683
N: 0.787 0.265 0.683
N: 0.265 0.265 0.683
N: 0.233 0.233 0.301
N: 0.748 0.226 0.277
N: 0.226 0.748 0.277
N: 0.748 0.748 0.277
N: 0.752 0.752 0.745

Results
ΔE_f (raw) = -1.40 eV/atom



no.,total magnetic moment (μB/atom)
1,0.000
2,0.000
3,0.000